{"formula": "Li4Fe2Co3Sn3O16", "functional": "PBE+U", "state": "optimized geometry", "mass_density_g_cm3": 5.3, "total_energy_ev_per_atom": -5.83, "lattice": [[-4.660, 3.703, -0.630], [0.288, -3.626, 4.740], [4.458, 6.603, 4.859]], "species": ["Li", "Li", "Li", "Li", "O", "O", "O", "O", "O", "O", "O", "O", "O", "O", "O", "O", "O", "O", "O", "O", "Fe", "Fe", "Co", "Co", "Co", "Sn", "Sn", "Sn"], "fractional_positions": [[0.984, 0.000, 0.504], [0.684, 0.340, 0.398], [0.754, 0.879, 0.966], [0.326, 0.668, 0.872], [0.358, 0.178, 0.092], [0.550, 0.047, 0.849], [0.988, 0.991, 0.315], [0.553, 0.510, 0.847], [0.157, 0.827, 0.603], [0.963, 0.486, 0.833], [0.832, 0.160, 0.099], [0.988, 0.994, 0.815], [0.695, 0.350, 0.610], [0.050, 0.522, 0.349], [0.165, 0.333, 0.600], [0.371, 0.685, 0.093], [0.832, 0.671, 0.099], [0.497, 0.531, 0.345], [0.680, 0.833, 0.614], [0.496, 0.958, 0.347], [0.687, 0.344, 0.986], [0.340, 0.663, 0.488], [0.841, 0.178, 0.717], [0.667, 0.831, 0.220], [0.841, 0.670, 0.713], [0.347, 0.175, 0.720], [0.178, 0.338, 0.205], [0.178, 0.836, 0.206]]}